Below is crystalline Pm2Nd3Pt2 at its relaxed geometry, with properties calculated at the GGA-PBE level.

```
data_Pm2Nd3Pt2
_symmetry_space_group_name_H-M 'C 1 2/m 1'
_symmetry_Int_Tables_number 12
_symmetry_space_group_name_Hall '-C 2y'
_cell_length_a 12.553
_cell_length_b 3.897
_cell_length_c 9.278
_cell_angle_alpha 90.00
_cell_angle_beta 115.07
_cell_angle_gamma 90.00
loop_
_atom_site_label
_atom_site_type_symbol
_atom_site_fract_x
_atom_site_fract_y
_atom_site_fract_z
Pm1 Pm 0.165 0.000 0.312
Nd1 Nd 0.000 0.500 0.500
Nd2 Nd 0.115 0.500 0.933
Pt1 Pt 0.172 0.000 0.735
```

Calculated values
As for the density of states at the Fermi level: 1.19 states/eV per atom. As for the formation energy: -0.688 eV/atom. The calculation puts the total moment at 0.00 μB/cell.

Below is crystalline Pm2Nd2Pt at its relaxed geometry, with properties calculated at the GGA-PBE level.

```
data_Pm2Nd2Pt
_symmetry_space_group_name_H-M 'C 1 2/m 1'
_symmetry_Int_Tables_number 12
_symmetry_space_group_name_Hall '-C 2y'
_cell_length_a 7.805
_cell_length_b 12.218
_cell_length_c 7.621
_cell_angle_alpha 90.00
_cell_angle_beta 116.32
_cell_angle_gamma 90.00
loop_
_atom_site_label
_atom_site_type_symbol
_atom_site_fract_x
_atom_site_fract_y
_atom_site_fract_z
Pm1 Pm 0.237 0.000 0.390
Pm2 Pm 0.242 0.500 0.118
Nd1 Nd 0.040 0.281 0.754
Pt1 Pt 0.000 0.120 0.000
```

Calculated values
As for the density of states at the Fermi level: 1.27 states/eV per atom. As for the formation energy: -0.378 eV/atom. The calculation puts the total moment at 0.00 μB/cell.

Below is crystalline PmNd3Pt at its relaxed geometry, with properties calculated at the GGA-PBE level.

```
data_PmNd3Pt
_symmetry_space_group_name_H-M 'P 1 21/c 1'
_symmetry_Int_Tables_number 14
_symmetry_space_group_name_Hall '-P 2ybc'
_cell_length_a 8.379
_cell_length_b 7.248
_cell_length_c 10.595
_cell_angle_alpha 90.00
_cell_angle_beta 107.41
_cell_angle_gamma 90.00
loop_
_atom_site_label
_atom_site_type_symbol
_atom_site_fract_x
_atom_site_fract_y
_atom_site_fract_z
Pm1 Pm 0.189 0.023 0.266
Nd1 Nd 0.048 0.721 0.015
Nd2 Nd 0.272 0.000 0.867
Nd3 Nd 0.417 0.139 0.607
Pt1 Pt 0.421 0.731 0.603
```

Calculated values
As for the density of states at the Fermi level: 0.98 states/eV per atom. As for the formation energy: -0.414 eV/atom. The energy relative to the lowest polymorph listed for this composition is 5.6 kJ/mol of atoms. The calculation puts the total moment at 0.00 μB/cell.

Below is crystalline Pm3Nd2Pt4 at its relaxed geometry, with properties calculated at the GGA-PBE level.

```
data_Pm3Nd2Pt4
_symmetry_space_group_name_H-M 'C m c e'
_symmetry_Int_Tables_number 64
_symmetry_space_group_name_Hall '-C 2ac 2'
_cell_length_a 7.714
_cell_length_b 15.614
_cell_length_c 7.951
_cell_angle_alpha 90.00
_cell_angle_beta 90.00
_cell_angle_gamma 90.00
loop_
_atom_site_label
_atom_site_type_symbol
_atom_site_fract_x
_atom_site_fract_y
_atom_site_fract_z
Pm1 Pm 0.000 0.000 0.000
Pm2 Pm 0.250 0.206 0.250
Nd1 Nd 0.000 0.102 0.599
Pt1 Pt 0.000 0.200 0.951
Pt2 Pt 0.250 0.023 0.250
```

Calculated values
As for the density of states at the Fermi level: 0.74 states/eV per atom. As for the formation energy: -0.917 eV/atom. The energy relative to the lowest polymorph listed for this composition is 12.7 kJ/mol of atoms. The calculation puts the total moment at 0.00 μB/cell.

Below is crystalline PmNd3Pt8 at its relaxed geometry, with properties calculated at the GGA-PBE level.

```
data_PmNd3Pt8
_symmetry_space_group_name_H-M 'R 3 m'
_symmetry_Int_Tables_number 160
_symmetry_space_group_name_Hall 'R 3 -2"'
_cell_length_a 5.5122
_cell_length_b 5.5122
_cell_length_c 27.0281
_cell_angle_alpha 90.00
_cell_angle_beta 90.00
_cell_angle_gamma 120.00
loop_
_atom_site_label
_atom_site_type_symbol
_atom_site_fract_x
_atom_site_fract_y
_atom_site_fract_z
Pm1 Pm 0.0000 0.0000 0.0000
Nd1 Nd 0.0000 0.0000 0.3746
Nd2 Nd 0.0000 0.0000 0.4999
Nd3 Nd 0.0000 0.0000 0.8750
Pt1 Pt 0.0000 0.0000 0.1874
Pt2 Pt 0.0000 0.0000 0.6873
Pt3 Pt 0.9997 0.4999 0.4372
Pt4 Pt 0.0001 0.5000 0.9376
```

Calculated values
As for the density of states at the Fermi level: 0.16 states/eV per atom. As for the formation energy: -1.064 eV/atom. The calculation puts the total moment at 0.00 μB/cell.

Below is crystalline PmNdPt at its relaxed geometry, with properties calculated at the GGA-PBE level.

```
data_PmNdPt
_symmetry_space_group_name_H-M 'C m c m'
_symmetry_Int_Tables_number 63
_symmetry_space_group_name_Hall '-C 2c 2'
_cell_length_a 5.163
_cell_length_b 12.741
_cell_length_c 5.156
_cell_angle_alpha 90.00
_cell_angle_beta 90.00
_cell_angle_gamma 90.00
loop_
_atom_site_label
_atom_site_type_symbol
_atom_site_fract_x
_atom_site_fract_y
_atom_site_fract_z
Pm1 Pm 0.000 0.121 0.250
Nd1 Nd 0.000 0.386 0.250
Pt1 Pt 0.000 0.256 0.750
```

Calculated values
As for the density of states at the Fermi level: 1.13 states/eV per atom. As for the formation energy: -0.682 eV/atom. The energy relative to the lowest polymorph listed for this composition is 6.8 kJ/mol of atoms. The calculation puts the total moment at 0.00 μB/cell.

Q: What is the formula in the first record?
A: Pm2Nd3Pt2

Please write out number 6 again, unchanged.
Below is crystalline PmNdPt at its relaxed geometry, with properties calculated at the GGA-PBE level.

```
data_PmNdPt
_symmetry_space_group_name_H-M 'C m c m'
_symmetry_Int_Tables_number 63
_symmetry_space_group_name_Hall '-C 2c 2'
_cell_length_a 5.163
_cell_length_b 12.741
_cell_length_c 5.156
_cell_angle_alpha 90.00
_cell_angle_beta 90.00
_cell_angle_gamma 90.00
loop_
_atom_site_label
_atom_site_type_symbol
_atom_site_fract_x
_atom_site_fract_y
_atom_site_fract_z
Pm1 Pm 0.000 0.121 0.250
Nd1 Nd 0.000 0.386 0.250
Pt1 Pt 0.000 0.256 0.750
```

Calculated values
As for the density of states at the Fermi level: 1.13 states/eV per atom. As for the formation energy: -0.682 eV/atom. The energy relative to the lowest polymorph listed for this composition is 6.8 kJ/mol of atoms. The calculation puts the total moment at 0.00 μB/cell.

Q: Look up the total moment of the sixth one.
A: 0.00 μB/cell